Crystalline K3Mn2Br2F5 at its relaxed geometry. Source: the Alexandria database, functional PBE+U.

Output
DFT total energy = -4.96 eV per atom
theoretical density = 3.33 Mg/m³

Cell: 12.870 12.870 12.870 Å, 160.38 160.38 27.89°
Fractional coordinates of all 12 atoms:
1 K 0.000 0.000 0.000
2 K 0.163 0.163 0.000
3 K 0.837 0.837 0.000
4 Mn 0.416 0.416 0.000
5 Mn 0.584 0.584 0.000
6 Br 0.308 0.308 0.000
7 Br 0.692 0.692 0.000
8 F 0.082 0.582 0.500
9 F 0.418 0.918 0.500
10 F 0.500 0.500 0.000
11 F 0.582 0.082 0.500
12 F 0.918 0.418 0.500